# 1
The following is a PBE-GGA calculation of an optimized crystal structure of Y2AuN, from the Alexandria database.

Cell: 3.565 3.565 7.515 Å, 76.28 76.28 60.00°
Fractional coordinates of all 4 atoms:
Y 0.771 0.771 0.688
Y 0.229 0.229 0.312
Au 0.000 0.000 0.000
N 0.500 0.500 0.500

=====

# 2
The following is a PBE-GGA calculation of an optimized crystal structure of Y2Au2N, from the Alexandria database.

Cell: 7.427 7.427 3.912 Å, 90.00 90.00 90.00°
Fractional coordinates of all 10 atoms:
Y 0.175 0.675 0.500
Y 0.675 0.825 0.500
Y 0.825 0.325 0.500
Y 0.325 0.175 0.500
Au 0.369 0.869 0.000
Au 0.869 0.631 0.000
Au 0.631 0.131 0.000
Au 0.131 0.369 0.000
N 0.000 0.000 0.000
N 0.500 0.500 0.000

As for the energy above the most stable polymorph in this dataset: 0.0 meV per atom.

=====

# 3
The following is a PBE-GGA calculation of an optimized crystal structure of Zn2AuN, from the Alexandria database.

Cell: 4.289 4.289 4.289 Å, 60.00 60.00 60.00°
Fractional coordinates of all 4 atoms:
Zn 0.250 0.250 0.250
Zn 0.750 0.750 0.750
Au 0.500 0.500 0.500
N 0.000 0.000 0.000

As for the energy above the most stable polymorph in this dataset: 599.6 meV per atom.

=====

# 4
The following is a PBE-GGA calculation of an optimized crystal structure of Zn2AuN, from the Alexandria database.

Cell: 5.477 5.477 6.029 Å, 62.98 62.98 90.00°
Fractional coordinates of all 8 atoms:
Zn 0.505 0.125 0.250
Zn 0.245 0.625 0.250
Zn 0.375 0.495 0.750
Zn 0.875 0.755 0.750
Au 0.000 0.000 0.000
Au 0.750 0.250 0.500
N 0.500 0.500 0.000
N 0.250 0.750 0.500

As for the energy above the most stable polymorph in this dataset: 0.0 meV per atom.

=====

# 5
The following is a PBE-GGA calculation of an optimized crystal structure of ZnAuN3, from the Alexandria database.

Cell: 3.907 3.907 3.907 Å, 90.00 90.00 90.00°
Each line ends with the local moment (μB).
Fractional coordinates of all 5 atoms:
Zn 0.000 0.000 0.000  0.05
Au 0.500 0.500 0.500  0.23
N 0.000 0.500 0.000  0.80
N 0.000 0.000 0.500  0.71
N 0.500 0.000 0.000  0.86

=====

# 6
The following is a PBE-GGA calculation of an optimized crystal structure of ZnAu2N, from the Alexandria database.

Cell: 5.047 5.047 7.061 Å, 69.06 69.06 90.00°
Fractional coordinates of all 8 atoms:
Zn 0.000 0.000 0.000
Zn 0.750 0.250 0.500
Au 0.508 0.125 0.250
Au 0.242 0.625 0.250
Au 0.375 0.492 0.750
Au 0.875 0.758 0.750
N 0.500 0.500 0.000
N 0.250 0.750 0.500

As for the energy above the most stable polymorph in this dataset: 0.0 meV per atom.

=====

Energy relative to the elements, uncorrected list, top to bottom, in kJ/mol of atoms: -104.7 4.3 68.0 10.1 221.5 69.2